First-principles (GGA+U) data for crystalline Na2Li2CoTeO6 at its relaxed geometry, as listed in OQMD via LeMat-Bulk.

Calculated values
Spin magnetization ... 0.250 μB per atom
Calculated volume ... 126.0 Å³/cell
Total energy ... -62.856 eV per cell

Lattice parameters (Å, degrees): 5.3745 5.3745 5.4297 101.10 101.10 119.62
Closest atoms and distances in Å follow each position.
Positions (direct):
O (0.7930, 0.7640, 0.7746)  1 Te 1.97, 1 Co 2.15, 1 Li 2.17
O (0.2360, 0.2070, 0.2254)  1 Te 1.97, 1 Co 2.15, 1 Li 2.17
O (0.4032, 0.0320, 0.7817)  1 Te 1.97, 1 Li 2.00, 1 Co 2.06
O (0.0618, 0.4441, 0.7619)  1 Te 1.95, 1 Li 2.05
O (0.5559, 0.9382, 0.2381)  1 Te 1.95, 1 Li 2.05
O (0.9680, 0.5968, 0.2183)  1 Te 1.97, 1 Li 2.00, 1 Co 2.06
Li (0.6646, 0.3354, 0.5000)  4 O 2.05-2.17
Li (0.3238, 0.6762, 0.5000)  2 O 2.00
Co (0.8333, 0.1667, 0.0000)  6 O 2.06-2.22
Na (0.5012, 0.4988, 0.0000)  6 O 2.28-2.31
Na (0.9898, 0.0102, 0.5000)  6 O 2.25-2.38
Te (0.1694, 0.8306, 0.0000)  6 O 1.95-1.97